A plane-wave DFT calculation with GGA-PBE was carried out for a relaxed structure of La10Ge3Sb3.

Unit cell a=9.3662 b=9.3662 c=6.6892 alpha=90.00 beta=90.00 gamma=120.00
With the nearest neighbours (Å) after each atom.
Space group P-62m (No. 189)
Asymmetric unit:
La  0.0000  0.2529  0.0000 (multiplicity 3)  3 Sb 3.19-3.37, 2 Ge 3.55
La  0.0000  0.7476  0.5000 (multiplicity 3)  3 Ge 3.14-3.44
La  0.3333  0.6667  0.2602 (multiplicity 4)  2 La 3.21-3.48, 3 Ge 3.34, 3 Sb 3.38
Ge  0.0000  0.3807  0.5000 (multiplicity 3)  7 La 3.14-3.44
Sb  0.0000  0.6125  0.0000 (multiplicity 3)  7 La 3.19-3.38

Summary:
**Formation energy from raw total energies**: -81.2 kJ/mol of atoms
**Raw total energy**: -5.559 eV per atom
**Theoretical density**: 6.44 g cm⁻³